1.
Here is crystalline Ba3FeAg2O6 at its relaxed geometry from the Alexandria database. Energies are from PBE with a Hubbard U.

```
data_Ba3FeAg2O6
_cell_length_a 6.017
_cell_length_b 6.017
_cell_length_c 6.754
_cell_angle_alpha 90.00
_cell_angle_beta 90.00
_cell_angle_gamma 120.00
_space_group_name_H-M_alt 'P 1'
_space_group_IT_number 1
_space_group_name_Hall 'P 1'
loop_
_atom_site_label
_atom_site_type_symbol
_atom_site_fract_x
_atom_site_fract_y
_atom_site_fract_z
Ba1 Ba 0.000 0.000 0.000
Ba2 Ba 0.333 0.667 0.627
Ba3 Ba 0.667 0.333 0.373
Fe1 Fe 0.000 0.000 0.500
Ag1 Ag 0.333 0.667 0.142
Ag2 Ag 0.667 0.333 0.858
O1 O 0.157 0.313 0.325
O2 O 0.157 0.843 0.325
O3 O 0.313 0.157 0.675
O4 O 0.687 0.843 0.325
O5 O 0.843 0.157 0.675
O6 O 0.843 0.687 0.675
```

- V: 17.647 Å³/atom
- Density: 6.113 g/cm3
- SG: P-3m1, No. 164
- Final energy: -64.48 eV per cell

=====

2.
Here is crystalline Ba2FeAgO4 at its relaxed geometry from the Alexandria database. Energies are from PBE with a Hubbard U.

```
data_Ba2FeAgO4
_cell_length_a 5.631
_cell_length_b 5.631
_cell_length_c 5.631
_cell_angle_alpha 112.58
_cell_angle_beta 112.58
_cell_angle_gamma 103.42
_space_group_name_H-M_alt 'P 1'
_space_group_IT_number 1
_space_group_name_Hall 'P 1'
loop_
_atom_site_label
_atom_site_type_symbol
_atom_site_fract_x
_atom_site_fract_y
_atom_site_fract_z
Ba1 Ba 0.000 0.000 0.000
Ba2 Ba 0.750 0.250 0.500
Fe1 Fe 0.250 0.750 0.500
Ag1 Ag 0.500 0.500 0.000
O1 O 0.132 0.582 0.086
O2 O 0.418 0.504 0.550
O3 O 0.496 0.045 0.914
O4 O 0.955 0.868 0.450
```

- V: 17.036 Å³/atom
- Density: 6.121 g/cm3
- SG: I-4, No. 82
- Final energy: -44.66 eV per cell